[1]
DFT (PBE) results for a relaxed KCaPS2 crystal.

```
5
Lattice="5.359 0.000 0.000 0.000 5.359 0.000 0.000 0.000 5.102" Properties=species:S:1:pos:R:3 pbc="T T T"
P 0.000 0.000 2.551
K 0.000 0.000 0.000
S 2.680 0.000 0.000
S 0.000 2.680 0.000
Ca 2.680 2.680 2.551
```

M_tot (μB per cell): 0.0
E_form (uncorrected) (meV per atom): 518.8
Final energy (eV for the cell shown): -14.2
D(E_F) (states/eV/f.u.): 6.771
Relative energy among the computed polymorphs (meV per atom): 694.5
Space group: P4/mmm
Crystal system: tetragonal

---

[2]
DFT (PBE) results for a relaxed KCaPS2 crystal.

```
5
Lattice="5.390 0.000 0.000 0.000 5.390 0.000 0.000 0.000 5.543" Properties=species:S:1:pos:R:3 pbc="T T T"
S 2.695 0.000 0.000
P 0.000 0.000 2.771
Ca 0.000 0.000 0.000
S 0.000 2.695 0.000
K 2.695 2.695 2.771
```

M_tot (μB per cell): 2.9
E_form (uncorrected) (meV per atom): -175.7
Final energy (eV for the cell shown): -17.6
D(E_F) (states/eV/f.u.): 4.803
Relative energy among the computed polymorphs (meV per atom): 0.0
Space group: P4/mmm
Crystal system: tetragonal

---

[3]
DFT (PBE) results for a relaxed KSr2CaP crystal.

```
5
Lattice="6.138 0.000 0.000 0.000 6.138 0.000 0.000 0.000 5.768" Properties=species:S:1:pos:R:3 pbc="T T T"
Ca 0.000 0.000 2.884
Sr 3.069 0.000 0.000
P 0.000 0.000 0.000
K 3.069 3.069 2.884
Sr 0.000 3.069 0.000
```

M_tot (μB per cell): 1.1
DFT formation energy (eV per atom): -0.415
Final energy (eV for the cell shown): -13.9
D(E_F) (states/eV/f.u.): 4.503
Space group: P4/mmm
Crystal system: tetragonal

---

[4]
DFT (PBE) results for a relaxed K2CaZnP2 crystal.

```
12
Lattice="-2.752 6.004 -0.377 -2.991 -1.730 -5.718 -2.959 -4.572 6.833" Properties=species:S:1:pos:R:3 pbc="T T T"
P -5.677 -4.180 0.331
K -3.122 -2.849 2.495
P -3.024 3.882 0.408
Zn -3.619 1.705 -4.477
K -2.895 0.822 1.266
P -5.389 -0.683 3.025
K -5.580 2.551 -1.756
Zn -2.124 2.570 -1.618
P -3.313 0.385 -2.286
Ca -0.748 -0.432 -1.430
K -5.806 -1.120 -0.527
Ca -2.243 -1.297 -4.289
```

M_tot (μB per cell): 0.0
DFT formation energy (eV per atom): -0.587
Final energy (eV for the cell shown): -39.6
Space group: Ibam
Crystal system: orthorhombic